# SmPu6S8

SmPu6S8 after structural relaxation (PBE, the Alexandria database).

Properties
Symmetry ... No. 225
Magnetization ... 33.872 μB per formula unit
Electronic total energy ... -10.035 eV per atom
Formation energy without anion corrections ... -1787 meV per atom
Volume ... 354.4 Å³/cell

a b c (Å): 7.944 7.944 7.944
angles (deg): 60.00 60.00 60.00
Site moments in Bohr magnetons follow the coordinates.
Fractional positions:
S  0.750  0.250  0.750  -0.10
S  0.750  0.750  0.250  -0.10
S  0.250  0.250  0.750  -0.10
S  0.750  0.250  0.250  -0.10
S  0.250  0.750  0.250  -0.10
S  0.250  0.250  0.250  -0.14
S  0.750  0.750  0.750  -0.14
S  0.250  0.750  0.750  -0.10
Pu  0.000  0.000  0.500  5.36
Pu  0.500  0.500  0.000  5.36
Pu  0.000  0.500  0.000  5.36
Pu  0.000  0.500  0.500  5.36
Pu  0.500  0.000  0.500  5.36
Pu  0.500  0.000  0.000  5.36
Sm  0.000  0.000  0.000  0.15